The following is a DFT calculation (PBE-GGA) of a geometry-optimized PrEr6Tm3Sc2 structure.

Calculated values
V, Å³ per atom: 29.74
Energy, eV for the cell shown: -57.76
Symmetry: C2/m (12)

abc: 6.017 6.017 11.550
angles: 94.96 94.96 119.94
Fractional positions:
Pr (0.000, 0.000, 0.000)
Er (0.084, 0.419, 0.249)
Er (0.253, 0.253, 0.751)
Er (0.419, 0.084, 0.249)
Er (0.581, 0.916, 0.751)
Er (0.747, 0.747, 0.249)
Er (0.916, 0.581, 0.751)
Tm (0.167, 0.833, 0.500)
Tm (0.500, 0.500, 0.500)
Tm (0.833, 0.167, 0.500)
Sc (0.333, 0.667, 0.000)
Sc (0.667, 0.333, 0.000)

***

The following is a DFT calculation (PBE-GGA) of a geometry-optimized Pr6Er2Tm3Sc structure.

Calculated values
V, Å³ per atom: 32.38
Energy, eV for the cell shown: -57.22
Symmetry: C2/m (12)

abc: 6.239 6.239 11.712
angles: 95.09 95.09 119.98
Fractional positions:
Pr (0.082, 0.413, 0.748)
Pr (0.248, 0.248, 0.252)
Pr (0.413, 0.082, 0.748)
Pr (0.587, 0.918, 0.252)
Pr (0.752, 0.752, 0.748)
Pr (0.918, 0.587, 0.252)
Er (0.333, 0.667, 0.500)
Er (0.667, 0.333, 0.500)
Tm (0.167, 0.833, 0.000)
Tm (0.500, 0.500, 0.000)
Tm (0.833, 0.167, 0.000)
Sc (0.000, 0.000, 0.500)

***

The following is a DFT calculation (PBE-GGA) of a geometry-optimized Pr6Er3Tm2Sc structure.

Calculated values
V, Å³ per atom: 32.44
Energy, eV for the cell shown: -57.31
Symmetry: C2/m (12)

abc: 6.243 6.243 11.718
angles: 95.09 95.09 119.98
Fractional positions:
Pr (0.082, 0.413, 0.247)
Pr (0.249, 0.249, 0.753)
Pr (0.413, 0.082, 0.247)
Pr (0.587, 0.918, 0.753)
Pr (0.751, 0.751, 0.247)
Pr (0.918, 0.587, 0.753)
Er (0.167, 0.833, 0.500)
Er (0.500, 0.500, 0.500)
Er (0.833, 0.167, 0.500)
Tm (0.333, 0.667, 0.000)
Tm (0.667, 0.333, 0.000)
Sc (0.000, 0.000, 0.000)

***

The following is a DFT calculation (PBE-GGA) of a geometry-optimized Pr2Er2TmSc2 structure.

Calculated values
V, Å³ per atom: 30.66
Energy, eV for the cell shown: -35.06
Symmetry: C2/m (12)

abc: 5.960 5.960 11.580
angles: 107.95 107.95 33.44
Fractional positions:
Pr (0.172, 0.172, 0.091)
Pr (0.828, 0.828, 0.909)
Er (0.044, 0.044, 0.764)
Er (0.956, 0.956, 0.236)
Tm (0.500, 0.500, 0.500)
Sc (0.270, 0.270, 0.628)
Sc (0.730, 0.730, 0.372)